The following is a PBE calculation of crystalline SrTaAu2 at its relaxed geometry, from Alexandria.

a = 11.000 Å, b = 3.018 Å, c = 5.295 Å
α = 90.00°, β = 103.16°, γ = 90.00°
Space group Cm (No. 8)
Symmetry-distinct sites (fractional):
Sr (0.000, 0.000, 0.000)
Ta (0.213, 0.000, 0.606)
Au (0.253, 0.500, 0.139)
Au (0.473, 0.000, 0.499)

Values from the calculation:
Volume in Å³/atom: 21.400
Calculated formation energy in eV per atom: 0.102